{"formula": "TbBe2Pd7", "functional": "PBE", "state": "optimized geometry", "lattice": [[3.6188, -5.4777, 0.0000], [3.6188, 5.4777, 0.0000], [0.0000, 0.0000, 4.2578]], "species": ["Tb", "Be", "Be", "Pd", "Pd", "Pd", "Pd", "Pd", "Pd", "Pd"], "frac_coords": [[0.0000, 0.0000, 0.0000], [0.2892, 0.7108, 0.5000], [0.7108, 0.2892, 0.5000], [0.0612, 0.3232, 0.5000], [0.3232, 0.0612, 0.5000], [0.3293, 0.6707, 0.0000], [0.5000, 0.5000, 0.5000], [0.6707, 0.3293, 0.0000], [0.6768, 0.9388, 0.5000], [0.9388, 0.6768, 0.5000]], "formation_energy_ev_per_atom": -0.309, "spacegroup": "Cmmm", "dos_at_fermi_per_ev_atom": 0.37, "rho_g_cm3": 9.069, "total_energy_ev_per_atom": -5.15}